# 1
The following is a DFT calculation (GGA-PBE) of crystalline ScTcGe at its relaxed geometry.

## Properties
* total moment: 0.3 μB/cell
* calculated volume: 56 Å³/cell
* ΔE to the lowest computed polymorph: 0 meV per atom

```
3
Lattice="0.000 3.037 3.037 3.037 0.000 3.037 3.037 3.037 0.000" Properties=species:S:1:pos:R:3 pbc="T T T"
Sc 0.000 0.000 0.000
Tc 3.037 3.037 3.037
Ge 1.518 1.518 1.518
```

***

# 2
The following is a DFT calculation (GGA-PBE) of crystalline Sc2TcGe2 at its relaxed geometry.

## Properties
* total moment: 2.0 μB/cell
* calculated volume: 93 Å³/cell
* ΔE to the lowest computed polymorph: 912 meV per atom

```
5
Lattice="-1.961 1.961 6.032 1.961 -1.961 6.032 1.961 1.961 -6.032" Properties=species:S:1:pos:R:3 pbc="T T T"
Sc 1.961 0.000 3.016
Sc 0.000 1.961 3.016
Tc 0.000 0.000 0.000
Ge 0.000 0.000 4.883
Ge 0.000 0.000 7.182
```

***

# 3
The following is a DFT calculation (GGA-PBE) of crystalline Sc2TcGe2 at its relaxed geometry.

## Properties
* total moment: 0.0 μB/cell
* calculated volume: 175 Å³/cell
* ΔE to the lowest computed polymorph: 0 meV per atom

```
10
Lattice="6.698 0.000 0.000 0.000 6.698 0.000 0.000 0.000 3.904" Properties=species:S:1:pos:R:3 pbc="T T T"
Sc 1.169 2.180 0.000
Sc 2.180 5.529 0.000
Sc 4.517 1.169 0.000
Sc 5.529 4.517 0.000
Tc 0.000 0.000 1.952
Tc 3.349 3.349 1.952
Ge 0.892 4.240 1.952
Ge 2.457 0.892 1.952
Ge 4.240 5.806 1.952
Ge 5.806 2.457 1.952
```

***

# 4
The following is a DFT calculation (GGA-PBE) of crystalline ScTcGe2 at its relaxed geometry.

## Properties
* total moment: 0.0 μB/cell
* calculated volume: 68 Å³/cell
* DFT total energy: -25.9 eV/cell

```
4
Lattice="0.000 3.235 3.235 3.235 0.000 3.235 3.235 3.235 0.000" Properties=species:S:1:pos:R:3 pbc="T T T"
Sc 0.000 0.000 0.000
Tc 1.618 1.618 1.618
Ge 3.235 3.235 3.235
Ge 4.853 4.853 4.853
```

***

# 5
The following is a DFT calculation (GGA-PBE) of crystalline ScTcGe at its relaxed geometry.

## Properties
* total moment: 0.0 μB/cell
* calculated volume: 60 Å³/cell
* ΔE to the lowest computed polymorph: 727 meV per atom

```
3
Lattice="0.000 3.108 3.108 3.108 0.000 3.108 3.108 3.108 0.000" Properties=species:S:1:pos:R:3 pbc="T T T"
Sc 0.000 0.000 0.000
Tc 1.554 1.554 1.554
Ge 4.662 4.662 4.662
```

***

# 6
The following is a DFT calculation (GGA-PBE) of crystalline TmScGe2 at its relaxed geometry.

## Properties
* total moment: 0.4 μB/cell
* calculated volume: 99 Å³/cell
* DFT total energy: -19.8 eV/cell

```
4
Lattice="3.161 0.000 0.000 0.000 2.816 5.574 0.000 -2.816 5.574" Properties=species:S:1:pos:R:3 pbc="T T T"
Tm 0.000 0.000 0.000
Sc 0.000 0.000 7.864
Ge 0.000 0.000 2.789
Ge 0.000 0.000 5.243
```

***

# 7
The following is a DFT calculation (GGA-PBE) of crystalline Sc2GeW at its relaxed geometry.

## Properties
* total moment: 1.9 μB/cell
* calculated volume: 72 Å³/cell
* DFT total energy: -30.0 eV/cell

```
4
Lattice="0.000 3.296 3.296 3.296 0.000 3.296 3.296 3.296 0.000" Properties=species:S:1:pos:R:3 pbc="T T T"
Sc 0.000 0.000 0.000
Sc 1.648 1.648 1.648
Ge 3.296 3.296 3.296
W 4.944 4.944 4.944
```

***

# 8
The following is a DFT calculation (GGA-PBE) of crystalline ScGeW2 at its relaxed geometry.

## Properties
* total moment: 0.0 μB/cell
* calculated volume: 66 Å³/cell
* DFT total energy: -36.6 eV/cell

```
4
Lattice="0.000 3.206 3.206 3.206 0.000 3.206 3.206 3.206 0.000" Properties=species:S:1:pos:R:3 pbc="T T T"
Sc 0.000 0.000 0.000
Ge 4.808 4.808 4.808
W 1.603 1.603 1.603
W 3.206 3.206 3.206
```